YMnZn2: optimized geometry, PBE.

abc: 5.1719 5.1719 5.1719
angles: 135.93 126.74 71.54
With the nearest neighbours (Å) after each atom.
Fractional coordinates of all 4 atoms:
1 Y 0.0000 0.0000 0.0000  8 Zn 2.98-3.03, 4 Mn 2.98-3.02
2 Mn 0.7303 0.2303 0.5000  8 Zn 2.89-3.10, 4 Y 2.98-3.02
3 Zn 0.2697 0.7697 0.5000  2 Zn 2.60
4 Zn 0.4750 0.4750 0.0000  2 Zn 2.60, 2 Mn 2.89

Computed properties:
ΔE_f in eV per formula unit: 0.18
Uncorrected energy in eV per formula unit: -17.998